Here is a geometry-optimized FeAuI2N structure from the Alexandria database. Energies are from GGA-PBE.

Calculated values
- energy relative to the lowest polymorph listed for this composition (eV/atom) = 0.000
- ρ (kg/m3) = 8337
- final energy (eV per cell) = -20.55

Unit cell a=5.466 b=5.466 c=3.471 alpha=90.00 beta=90.00 gamma=90.00
Fractional coordinates of all 5 atoms:
Fe 0.000 0.000 0.000
Au 0.500 0.500 0.500
I 0.000 0.500 0.000
I 0.500 0.000 0.000
N 0.000 0.000 0.500